1.
Below is crystalline ZrAlSi at its relaxed geometry, with properties calculated at the PBE level.

a = 6.8755 Å, b = 5.9962 Å, c = 5.3372 Å
α = 89.98°, β = 90.00°, γ = 88.25°
Closest atoms and distances in Å follow each position.
Element x y z (fractional)
Si1 0.0705 0.8435 0.1191  1 Si 2.44, 1 Al 2.51, 1 Zr 2.69
Si2 0.9296 0.6565 0.6190  1 Si 2.44, 1 Al 2.51, 1 Zr 2.69
Si3 0.0704 0.3435 0.3810  1 Si 2.44, 1 Al 2.51, 1 Zr 2.69
Si4 0.9295 0.1565 0.8809  1 Si 2.44, 1 Al 2.51, 1 Zr 2.69
Zr1 0.7765 0.0304 0.3871  5 Si 2.69-3.00, 4 Al 2.93-3.01
Zr2 0.2235 0.9696 0.6129  5 Si 2.69-3.00, 4 Al 2.93-3.01
Zr3 0.7766 0.5305 0.1129  5 Si 2.69-3.00, 4 Al 2.93-3.01
Zr4 0.2234 0.4695 0.8871  5 Si 2.69-3.00, 4 Al 2.93-3.01
Al1 0.5647 0.1684 0.8450  1 Si 2.51, 1 Al 2.78
Al2 0.4353 0.3316 0.3450  1 Si 2.51, 1 Al 2.78
Al3 0.5647 0.6684 0.6550  1 Si 2.51, 1 Al 2.78
Al4 0.4353 0.8316 0.1550  1 Si 2.51, 1 Al 2.78

Properties
formation energy from raw total energies	-0.43	eV per atom
space-group type	P2_1/c (14)

***

2.
Below is crystalline Mg2As at its relaxed geometry, with properties calculated at the PBE level.

a = 5.6537 Å, b = 5.6537 Å, c = 5.6537 Å
α = 60.00°, β = 60.00°, γ = 60.00°
Closest atoms and distances in Å follow each position.
Element x y z (fractional)
Mg1 0.1250 0.1250 0.6250  6 Mg 2.83
Mg2 0.6250 0.1250 0.1250  6 Mg 2.83
Mg3 0.1250 0.1250 0.1250  6 Mg 2.83
Mg4 0.1250 0.6250 0.1250  6 Mg 2.83
As1 0.5000 0.5000 0.5000  12 Mg 3.31, 4 As 3.46
As2 0.7500 0.7500 0.7500  12 Mg 3.31, 4 As 3.46

Properties
formation enthalpy at 0 K	0.13	eV per atom
space-group type	Fd-3m (227)

***

3.
Below is crystalline Fe2AuCl at its relaxed geometry, with properties calculated at the PBE level.

a = 8.2694 Å, b = 8.2694 Å, c = 8.2694 Å
α = 20.56°, β = 20.56°, γ = 20.56°
Closest atoms and distances in Å follow each position.
Element x y z (fractional)
Au1 0.2500 0.2500 0.2500  6 Fe 2.74, 6 Au 2.95
Fe1 0.0051 0.0051 0.0051  3 Cl 2.55, 3 Au 2.74
Fe2 0.4949 0.4949 0.4949  3 Cl 2.55, 3 Au 2.74
Cl1 0.7500 0.7500 0.7500  6 Fe 2.55

Properties
E above lowest polymorph	18.0	kJ/mol of atoms
formation energy from raw total energies	0.28	eV per atom
space-group type	R-3m (166)

***

4.
Below is crystalline HoTm2Tc at its relaxed geometry, with properties calculated at the PBE level.

a = 3.8508 Å, b = 6.2072 Å, c = 9.0495 Å
α = 90.00°, β = 90.00°, γ = 108.07°
Closest atoms and distances in Å follow each position.
Element x y z (fractional)
Tm1 0.1449 0.2897 0.0652  3 Tc 2.89-3.06
Tm2 0.1449 0.2897 0.4348  3 Tc 2.89-3.06
Tm3 0.8551 0.7103 0.9348  3 Tc 2.89-3.06
Tm4 0.8551 0.7103 0.5652  3 Tc 2.89-3.06
Tc1 0.2395 0.4790 0.7500  2 Ho 2.77, 6 Tm 2.89-3.06
Tc2 0.7605 0.5210 0.2500  2 Ho 2.77, 6 Tm 2.89-3.06
Ho1 0.5705 0.1408 0.7500  2 Tc 2.77
Ho2 0.4295 0.8592 0.2500  2 Tc 2.77

Properties
E above lowest polymorph	0.5	kJ/mol of atoms
formation enthalpy at 0 K	-0.14	eV per atom
space-group type	Cmcm (63)

***

5.
Below is crystalline Dy2Be3SnPt4 at its relaxed geometry, with properties calculated at the PBE level.

a = 4.0714 Å, b = 4.0714 Å, c = 10.2174 Å
α = 90.00°, β = 90.00°, γ = 90.00°
Closest atoms and distances in Å follow each position.
Element x y z (fractional)
Be1 0.5000 0.0000 0.8869  5 Pt 2.28-2.34
Be2 0.0000 0.5000 0.1131  5 Pt 2.28-2.34
Be3 0.0000 0.0000 0.5000  4 Pt 2.64, 4 Sn 2.88
Pt1 0.0000 0.5000 0.3359  1 Be 2.28
Pt2 0.0000 0.0000 0.0000  4 Be 2.34
Pt3 0.5000 0.5000 0.0000  4 Be 2.34
Pt4 0.5000 0.0000 0.6641  1 Be 2.28
Dy1 0.0000 0.5000 0.7664  8 Pt 3.06-3.14, 6 Be 3.13-3.40, 2 Sn 3.40
Dy2 0.5000 0.0000 0.2336  8 Pt 3.06-3.14, 6 Be 3.13-3.40, 2 Sn 3.40
Sn1 0.5000 0.5000 0.5000  4 Pt 2.64, 4 Be 2.88

Properties
formation enthalpy at 0 K	-0.86	eV per atom
space-group type	P-4m2 (115)

***

6.
Below is crystalline HfTa2Re2 at its relaxed geometry, with properties calculated at the PBE level.

a = 3.2191 Å, b = 3.2118 Å, c = 9.0003 Å
α = 79.72°, β = 90.00°, γ = 90.00°
Closest atoms and distances in Å follow each position.
Element x y z (fractional)
Ta1 0.0000 0.8196 0.3609  4 Re 2.71, 2 Ta 2.94
Ta2 0.0000 0.1804 0.6391  4 Re 2.71, 2 Ta 2.94
Re1 0.5000 0.5976 0.8048  4 Ta 2.71, 4 Hf 2.86
Re2 0.5000 0.4024 0.1952  4 Ta 2.71, 4 Hf 2.86
Hf1 0.0000 0.0000 0.0000  8 Re 2.86, 2 Ta 3.20

Properties
E above lowest polymorph	0.0	kJ/mol of atoms
formation enthalpy at 0 K	0.01	eV per atom
space-group type	Cmmm (65)

***

Total magnetization, respectively: 0.00; 0.00; 1.49; 0.00; 0.00; 0.00 μB per atom.
Final energy, respectively: -0.233; -0.091; -0.192; -0.224; -0.210; -0.430 hartree per atom.